Compound: Cd2SbPb
Source: the Alexandria database
Functional: GGA-PBE
Structure: relaxed

* E_form (uncorrected): 0.082 eV per atom
* polymorph energy (0 for the lowest one): 0.0196 eV per atom

Unit cell a=6.141 b=6.141 c=6.141 alpha=136.50 beta=136.50 gamma=63.21
Sites, in units of the cell vectors:
Pb 0.500 0.500 0.000
Sb 0.750 0.250 0.500
Cd 0.250 0.750 0.500
Cd 0.000 0.000 0.000